Arrangement i

ScSb2HI after structural relaxation, computed with GGA-PBE.

abc: 4.432 4.432 5.856
angles: 90.00 90.00 90.00
Element x y z (fractional)
I (0.000, 0.000, 0.500)
Sb (0.000, 0.500, 0.000)
Sb (0.500, 0.000, 0.000)
Sc (0.500, 0.500, 0.500)
H (0.000, 0.000, 0.000)



Arrangement ii

ScSb2HI after structural relaxation, computed with GGA-PBE.

abc: 5.548 5.548 5.780
angles: 90.00 90.00 90.00
Element x y z (fractional)
I (0.000, 0.000, 0.500)
Sb (0.000, 0.500, 0.000)
Sb (0.500, 0.000, 0.000)
Sc (0.000, 0.000, 0.000)
H (0.500, 0.500, 0.500)



We find arrangement i to be the most stable, with the next structure 0.349 eV/atom higher.



Arrangement i

SiSb2HI after structural relaxation, computed with GGA-PBE.

abc: 5.251 5.251 5.884
angles: 90.00 90.00 90.00
Element x y z (fractional)
I (0.000, 0.000, 0.500)
Sb (0.000, 0.500, 0.000)
Sb (0.500, 0.000, 0.000)
Si (0.000, 0.000, 0.000)
H (0.500, 0.500, 0.500)



Arrangement ii

SiSb2HI after structural relaxation, computed with GGA-PBE.

abc: 4.422 4.422 5.938
angles: 90.00 90.00 90.00
Element x y z (fractional)
I (0.000, 0.000, 0.500)
Sb (0.000, 0.500, 0.000)
Sb (0.500, 0.000, 0.000)
Si (0.500, 0.500, 0.500)
H (0.000, 0.000, 0.000)



We find arrangement ii to be the most stable, with the next structure 0.282 eV/atom higher.



Arrangement i

SrSbHI2 after structural relaxation, computed with GGA-PBE.

abc: 6.378 6.378 7.277
angles: 90.00 90.00 90.00
Element x y z (fractional)
I (0.000, 0.500, 0.000)
I (0.500, 0.000, 0.000)
Sb (0.000, 0.000, 0.500)
H (0.500, 0.500, 0.500)
Sr (0.000, 0.000, 0.000)



Arrangement ii

SrSbHI2 after structural relaxation, computed with GGA-PBE.

abc: 5.814 5.814 4.148
angles: 90.00 90.00 90.00
Element x y z (fractional)
I (0.000, 0.500, 0.000)
I (0.500, 0.000, 0.000)
Sb (0.000, 0.000, 0.500)
H (0.000, 0.000, 0.000)
Sr (0.500, 0.500, 0.500)



We find arrangement ii to be the most stable, with the next structure 0.475 eV/atom higher.



Arrangement i

TcSb2HI after structural relaxation, computed with GGA-PBE.

abc: 4.390 4.390 5.516
angles: 90.00 90.00 90.00
Element x y z (fractional)
I (0.000, 0.000, 0.500)
Sb (0.000, 0.500, 0.000)
Sb (0.500, 0.000, 0.000)
Tc (0.500, 0.500, 0.500)
H (0.000, 0.000, 0.000)



Arrangement ii

TcSb2HI after structural relaxation, computed with GGA-PBE.

abc: 5.066 5.066 6.008
angles: 90.00 90.00 90.00
Element x y z (fractional)
I (0.000, 0.000, 0.500)
Sb (0.000, 0.500, 0.000)
Sb (0.500, 0.000, 0.000)
Tc (0.000, 0.000, 0.000)
H (0.500, 0.500, 0.500)



We find arrangement ii to be the most stable, with the next structure 0.154 eV/atom higher.



Arrangement i

SbTe2HI after structural relaxation, computed with GGA-PBE.

abc: 5.760 5.760 6.153
angles: 90.00 90.00 90.00
Element x y z (fractional)
I (0.000, 0.000, 0.500)
Sb (0.000, 0.000, 0.000)
Te (0.000, 0.500, 0.000)
Te (0.500, 0.000, 0.000)
H (0.500, 0.500, 0.500)



Arrangement ii

SbTe2HI after structural relaxation, computed with GGA-PBE.

abc: 5.935 5.935 6.040
angles: 90.00 90.00 90.00
Element x y z (fractional)
I (0.000, 0.000, 0.000)
Sb (0.000, 0.000, 0.500)
Te (0.000, 0.500, 0.000)
Te (0.500, 0.000, 0.000)
H (0.500, 0.500, 0.500)



Arrangement iii

SbTe2HI after structural relaxation, computed with GGA-PBE.

abc: 4.443 4.443 7.115
angles: 90.00 90.00 90.00
Element x y z (fractional)
I (0.500, 0.500, 0.500)
Sb (0.000, 0.000, 0.500)
Te (0.000, 0.500, 0.000)
Te (0.500, 0.000, 0.000)
H (0.000, 0.000, 0.000)



We find arrangement iii to be the most stable, with the next structure 0.272 eV/atom higher.



Arrangement i

Sb2TeHI after structural relaxation, computed with GGA-PBE.

abc: 5.936 5.936 6.319
angles: 90.00 90.00 90.00
Element x y z (fractional)
I (0.000, 0.000, 0.500)
Sb (0.000, 0.500, 0.000)
Sb (0.500, 0.000, 0.000)
Te (0.000, 0.000, 0.000)
H (0.500, 0.500, 0.500)



Arrangement ii

Sb2TeHI after structural relaxation, computed with GGA-PBE.

abc: 5.630 5.630 3.896
angles: 90.00 90.00 90.00
Element x y z (fractional)
I (0.500, 0.500, 0.500)
Sb (0.000, 0.500, 0.000)
Sb (0.500, 0.000, 0.000)
Te (0.000, 0.000, 0.500)
H (0.000, 0.000, 0.000)



Arrangement iii

Sb2TeHI after structural relaxation, computed with GGA-PBE.

abc: 4.912 4.912 4.943
angles: 90.00 90.00 90.00
Element x y z (fractional)
I (0.000, 0.000, 0.500)
Sb (0.000, 0.500, 0.000)
Sb (0.500, 0.000, 0.000)
Te (0.500, 0.500, 0.500)
H (0.000, 0.000, 0.000)



Arrangement iv

Sb2TeHI after structural relaxation, computed with GGA-PBE.

abc: 5.951 5.951 5.980
angles: 90.00 90.00 90.00
Element x y z (fractional)
I (0.000, 0.000, 0.000)
Sb (0.000, 0.500, 0.000)
Sb (0.500, 0.000, 0.000)
Te (0.000, 0.000, 0.500)
H (0.500, 0.500, 0.500)



We find arrangement ii to be the most stable, with the next structure 0.079 eV/atom higher.